A plane-wave DFT calculation with GGA+U was carried out for a relaxed FeMo2O8 crystal.

The space group is C2/m (No. 12) and the conventional cell measures 13.376, 5.119 and 5.200 Å, with angles of 90.00, 95.86 and 90.00 degrees. Symmetry generates all atoms from Fe at (0.000, 0.000, 0.000), Mo at (0.150, 0.000, 0.433), O at (0.079, 0.243, 0.220), O at (0.111, 0.000, 0.751) and O at (0.218, 0.500, 0.578).

Its calculated total energy is -146.18 eV per cell. The theoretical density comes out at 3.5 g/cm³. Its volume is 354 Å³ per cell.